# 1
VASP calculation (PBE) on an optimized crystal structure of Ca2FeNi.

abc: 3.3276 3.3276 8.3087
angles: 90.00 90.00 90.00
Space group P4mm (No. 99)
Symmetry-distinct sites (fractional):
1 Ca 0.0000 0.0000 0.0000 (multiplicity 1)
2 Ca 0.5000 0.5000 0.3959 (multiplicity 1)
3 Fe 0.0000 0.0000 0.6586 (multiplicity 1)
4 Ni 0.5000 0.5000 0.7427 (multiplicity 1)

For the calculated density, the calculation gives 3.5 Mg/m³. The raw total energy is -4.36 eV per atom. Its calculated formation energy is 202 meV/atom. The total magnetic moment is 3.461 Bohr magnetons per cell.

# 2
VASP calculation (PBE) on an optimized crystal structure of MnNb2Cu2S6.

abc: 6.0007 10.8513 6.1333
angles: 90.00 102.30 90.00
Space group C2/m (No. 12)
Symmetry-distinct sites (fractional):
1 Mn 0.0000 0.0000 0.0000 (multiplicity 2)
2 Nb 0.0000 0.3671 0.0000 (multiplicity 4)
3 Cu 0.0000 0.3774 0.5000 (multiplicity 4)
4 S 0.1996 0.1680 0.2170 (multiplicity 8)
5 S 0.2275 0.5000 0.2836 (multiplicity 4)

For the calculated density, the calculation gives 4.8 Mg/m³. The raw total energy is -6.30 eV per atom. The total magnetic moment is 6.975 Bohr magnetons per cell. The value obtained for the uncorrected formation energy is -7.02 eV per formula unit.

# 3
VASP calculation (PBE) on an optimized crystal structure of CeAsPd2.

abc: 4.1832 10.2911 7.1140
angles: 90.00 90.00 90.00
Space group Cmcm (No. 63)
Symmetry-distinct sites (fractional):
1 Ce 0.0000 0.0648 0.2500 (multiplicity 4)
2 As 0.0000 0.2222 0.7500 (multiplicity 4)
3 Pd 0.0000 0.3677 0.0538 (multiplicity 8)

For the calculated density, the calculation gives 9.3 Mg/m³. The raw total energy is -6.10 eV per atom. Its calculated formation energy is -856 meV/atom. The total magnetic moment is 0.598 Bohr magnetons per cell.

# 4
VASP calculation (PBE) on an optimized crystal structure of LiBiP3.

abc: 4.5382 4.5382 4.5382
angles: 90.00 90.00 90.00
Space group Pm-3m (No. 221)
Symmetry-distinct sites (fractional):
1 Li 0.0000 0.0000 0.0000 (multiplicity 1)
2 Bi 0.5000 0.5000 0.5000 (multiplicity 1)
3 P 0.0000 0.0000 0.5000 (multiplicity 3)

For the calculated density, the calculation gives 5.5 Mg/m³. The raw total energy is -3.72 eV per atom. Its calculated formation energy is 686 meV/atom. The total magnetic moment is 0.000 Bohr magnetons per cell.